Entry 1:
The following is a GGA-PBE calculation of a geometry-optimized HfFeTc2 structure, from OQMD via LeMat-Bulk.

calculated total energy	-9.858	eV per atom
DFT formation energy	-0.112	eV per atom

Cell lengths 6.2373, 6.2373, 6.2373 Å; angles 90.00, 90.00, 90.00 degrees
With the nearest neighbours (Å) after each atom.
Space group F-43m (No. 216)
Asymmetric unit:
Hf1 0.0000 0.0000 0.0000  4 Fe 2.70, 4 Tc 2.70
Fe1 0.2500 0.2500 0.2500  4 Hf 2.70, 4 Tc 2.70
Tc1 0.0000 0.0000 0.5000  4 Tc 2.70, 4 Fe 2.70
Tc2 0.2500 0.2500 0.7500  4 Hf 2.70, 4 Tc 2.70

***

Entry 2:
The following is a GGA-PBE calculation of a geometry-optimized TbHgSO structure, from OQMD via LeMat-Bulk.

calculated total energy	-5.347	eV per atom
energy relative to the lowest polymorph listed for this composition	0.0000	eV/atom

Cell lengths 5.6426, 5.6421, 12.8948 Å; angles 90.00, 91.66, 90.00 degrees
With the nearest neighbours (Å) after each atom.
Space group P2_1 (No. 4)
Asymmetric unit:
Tb1 0.0031 0.0000 0.0838  4 O 2.26-2.28
Tb2 0.4954 0.0011 0.9149  4 O 2.26-2.28
Hg1 0.1286 0.2719 0.4966  2 Hg 3.18, 2 S 3.34-3.36
Hg2 0.4982 0.0168 0.2656  2 S 2.35-2.36
S1 0.2037 0.3110 0.2412  1 Hg 2.36
S2 0.2100 0.2239 0.7553  1 Hg 2.35
O1 0.2503 0.7496 0.0000  4 Tb 2.26-2.28
O2 0.2532 0.2481 0.0000  4 Tb 2.26-2.28

***

Entry 3:
The following is a GGA-PBE calculation of a geometry-optimized NbCuOs structure, from OQMD via LeMat-Bulk.

calculated total energy	-7.870	eV per atom
energy relative to the lowest polymorph listed for this composition	0.0000	eV/atom
DFT formation energy	0.475	eV per atom

Cell lengths 5.9936, 5.9936, 5.9936 Å; angles 90.00, 90.00, 90.00 degrees
With the nearest neighbours (Å) after each atom.
Space group F-43m (No. 216)
Asymmetric unit:
Nb1 0.0000 0.0000 0.0000  4 Os 2.60
Cu1 0.0000 0.0000 0.5000  4 Os 2.60
Os1 0.2500 0.2500 0.7500  4 Nb 2.60, 4 Cu 2.60

***

Entry 4:
The following is a GGA-PBE calculation of a geometry-optimized KNdHg3S4 structure, from OQMD via LeMat-Bulk.

calculated total energy	-3.213	eV per atom

Cell lengths 6.7560, 6.7560, 6.7560 Å; angles 90.00, 90.00, 90.00 degrees
With the nearest neighbours (Å) after each atom.
Space group P-43m (No. 215)
Asymmetric unit:
K1 0.0000 0.0000 0.0000  4 S 3.18
Nd1 0.5000 0.5000 0.5000  4 S 2.67
Hg1 0.0000 0.5000 0.5000  4 S 2.85
S1 0.2720 0.2720 0.2720  1 Nd 2.67, 3 Hg 2.85

***

Entry 5:
The following is a GGA-PBE calculation of a geometry-optimized LiBeCuGe structure, from OQMD via LeMat-Bulk.

calculated total energy	-3.515	eV per atom
energy relative to the lowest polymorph listed for this composition	0.0000	eV/atom

Cell lengths 5.7533, 5.7533, 5.7533 Å; angles 90.00, 90.00, 90.00 degrees
With the nearest neighbours (Å) after each atom.
Space group F-43m (No. 216)
Asymmetric unit:
Li1 0.0000 0.0000 0.0000  4 Cu 2.49, 4 Ge 2.49
Be1 0.0000 0.0000 0.5000  4 Ge 2.49, 4 Cu 2.49
Cu1 0.2500 0.2500 0.2500  4 Be 2.49, 4 Li 2.49
Ge1 0.2500 0.2500 0.7500  4 Li 2.49, 4 Be 2.49

***

Entry 6:
The following is a GGA-PBE calculation of a geometry-optimized Rb2InAgBr6 structure, from OQMD via LeMat-Bulk.

calculated total energy	-2.862	eV per atom
energy relative to the lowest polymorph listed for this composition	0.0000	eV/atom

Cell lengths 7.8885, 7.8885, 18.4897 Å; angles 90.00, 90.00, 120.00 degrees
With the nearest neighbours (Å) after each atom.
Space group R3 (No. 146, hexagonal axes)
Asymmetric unit:
Rb1 0.0000 0.0000 0.0000  6 Br 3.47-3.83
Rb2 0.0000 0.0000 0.4973  6 Br 3.47-3.83
In1 0.0000 0.0000 0.7491  6 Br 2.73
Ag1 0.0000 0.0000 0.2496  6 Br 2.84-2.85
Br1 0.0104 0.4454 0.4992  1 In 2.73, 1 Ag 2.85
Br2 0.1120 0.7673 0.3317  1 In 2.73, 1 Ag 2.84

***

Entry 7:
The following is a GGA-PBE calculation of a geometry-optimized Hf3AuCN structure, from OQMD via LeMat-Bulk.

calculated total energy	-9.507	eV per atom

Cell lengths 3.2718, 3.2718, 19.2271 Å; angles 90.00, 90.00, 120.00 degrees
With the nearest neighbours (Å) after each atom.
Space group P-3m1 (No. 164)
Asymmetric unit:
Hf1 0.0000 0.0000 0.0000  6 N 2.30
Hf2 0.0000 0.0000 0.5000  6 C 2.34
Hf3 0.3333 0.6667 0.1323  3 N 2.26
Hf4 0.3333 0.6667 0.3653  3 C 2.24
Au1 0.0000 0.0000 0.2465  6 Hf 2.90-2.96
C1 0.3333 0.6667 0.5721  6 Hf 2.24-2.34
N1 0.3333 0.6667 0.9320  6 Hf 2.26-2.30

***

Entry 8:
The following is a GGA-PBE calculation of a geometry-optimized LiInCoSb structure, from OQMD via LeMat-Bulk.

calculated total energy	-4.029	eV per atom
energy relative to the lowest polymorph listed for this composition	0.0000	eV/atom

Cell lengths 6.4542, 6.4542, 6.4542 Å; angles 90.00, 90.00, 90.00 degrees
With the nearest neighbours (Å) after each atom.
Space group F-43m (No. 216)
Asymmetric unit:
Li1 0.0000 0.0000 0.0000  4 In 2.79, 4 Sb 2.79
In1 0.2500 0.2500 0.7500  4 Li 2.79, 4 Co 2.79
Co1 0.0000 0.0000 0.5000  4 In 2.79, 4 Sb 2.79
Sb1 0.2500 0.2500 0.2500  4 Li 2.79, 4 Co 2.79

***

Entry 9:
The following is a GGA-PBE calculation of a geometry-optimized Zr2Pd structure, from OQMD via LeMat-Bulk.

calculated total energy	-7.519	eV per atom
DFT formation energy	-0.096	eV per atom

Cell lengths 6.4952, 6.4952, 6.4952 Å; angles 90.00, 90.00, 90.00 degrees
With the nearest neighbours (Å) after each atom.
Space group Fm-3m (No. 225)
Asymmetric unit:
Zr1 0.2500 0.2500 0.2500  4 Pd 2.81
Pd1 0.0000 0.0000 0.0000  8 Zr 2.81

***

Entry 10:
The following is a GGA-PBE calculation of a geometry-optimized BaGePtPb2 structure, from OQMD via LeMat-Bulk.

calculated total energy	-4.508	eV per atom

Cell lengths 4.9660, 4.9660, 11.2787 Å; angles 90.00, 90.00, 90.00 degrees
With the nearest neighbours (Å) after each atom.
Space group I4mm (No. 107)
Asymmetric unit:
Ba1 0.0000 0.0000 0.0000  4 Ge 3.64, 8 Pb 3.72-3.79, 4 Pt 3.81
Ge1 0.0000 0.0000 0.5854  1 Pt 2.44
Pt1 0.0000 0.0000 0.3693  1 Ge 2.44
Pb1 0.0000 0.5000 0.2456  2 Pt 2.85, 2 Ge 3.07

***

Entry 11:
The following is a GGA-PBE calculation of a geometry-optimized RbCdPt structure, from OQMD via LeMat-Bulk.

calculated total energy	-2.429	eV per atom
energy relative to the lowest polymorph listed for this composition	0.0000	eV/atom

Cell lengths 7.1581, 7.1581, 7.1581 Å; angles 90.00, 90.00, 90.00 degrees
With the nearest neighbours (Å) after each atom.
Space group F-43m (No. 216)
Asymmetric unit:
Rb1 0.0000 0.0000 0.0000  4 Pt 3.10
Cd1 0.0000 0.0000 0.5000  4 Pt 3.10
Pt1 0.2500 0.2500 0.7500  4 Cd 3.10, 4 Rb 3.10

***

Entry 12:
The following is a GGA-PBE calculation of a geometry-optimized Ni2AgGe structure, from OQMD via LeMat-Bulk.

calculated total energy	-4.527	eV per atom

Cell lengths 6.0120, 6.0120, 6.0120 Å; angles 90.00, 90.00, 90.00 degrees
With the nearest neighbours (Å) after each atom.
Space group F-43m (No. 216)
Asymmetric unit:
Ni1 0.0000 0.0000 0.0000  4 Ge 2.60, 4 Ni 2.60
Ni2 0.2500 0.2500 0.2500  4 Ni 2.60, 4 Ag 2.60
Ag1 0.0000 0.0000 0.5000  4 Ni 2.60, 4 Ge 2.60
Ge1 0.2500 0.2500 0.7500  4 Ni 2.60, 4 Ag 2.60

***

Entry 13:
The following is a GGA-PBE calculation of a geometry-optimized ErTeNO structure, from OQMD via LeMat-Bulk.

calculated total energy	-6.317	eV per atom
energy relative to the lowest polymorph listed for this composition	0.4500	eV/atom

Cell lengths 3.6059, 6.7358, 6.5346 Å; angles 90.00, 90.00, 90.00 degrees
With the nearest neighbours (Å) after each atom.
Space group Pmc2_1 (No. 26)
Asymmetric unit:
Er1 0.0000 0.1785 0.0000  2 O 2.12, 2 N 2.27-2.31
Te1 0.5000 0.2242 0.5034  2 N 2.18
N1 0.0000 0.1297 0.3437  2 Te 2.18, 2 Er 2.27-2.31
O1 0.5000 0.3017 0.8865  2 Er 2.12

***

Entry 14:
The following is a GGA-PBE calculation of a geometry-optimized CsCd structure, from OQMD via LeMat-Bulk.

calculated total energy	-0.948	eV per atom

Cell lengths 5.2808, 5.2808, 28.1860 Å; angles 90.00, 90.00, 120.00 degrees
With the nearest neighbours (Å) after each atom.
Space group R-3m (No. 166, hexagonal axes)
Asymmetric unit:
Cs1 0.0000 0.0000 0.0893  6 Cd 3.95
Cd1 0.0000 0.0000 0.3332  3 Cd 3.05

***

Entry 15:
The following is a GGA-PBE calculation of a geometry-optimized PrSiP3 structure, from OQMD via LeMat-Bulk.

calculated total energy	-5.972	eV per atom

Cell lengths 5.8779, 25.5092, 5.7195 Å; angles 90.00, 90.00, 90.00 degrees
With the nearest neighbours (Å) after each atom.
Space group Pna2_1 (No. 33)
Asymmetric unit:
Pr1 0.0251 0.0898 0.0000  9 P 2.97-3.30
Pr2 0.0248 0.4023 0.4996  9 P 2.94-3.23
Si1 0.0562 0.7942 0.0792  4 P 2.20-2.26
Si2 0.1160 0.2910 0.0770  4 P 2.21-2.28
P1 0.0178 0.3727 0.9970  1 Si 2.21
P2 0.0179 0.7893 0.4712  3 Si 2.24-2.28
P3 0.0287 0.1237 0.4969  1 Si 2.20
P4 0.0806 0.2847 0.4695  3 Si 2.24-2.26
P5 0.1856 0.5022 0.2047  2 P 2.27-2.30
P6 0.1881 0.5020 0.8030  2 P 2.27-2.30

***

Entry 16:
The following is a GGA-PBE calculation of a geometry-optimized TlCoTcPd structure, from OQMD via LeMat-Bulk.

calculated total energy	-5.784	eV per atom
energy relative to the lowest polymorph listed for this composition	0.0000	eV/atom

Cell lengths 6.3694, 6.3694, 6.3694 Å; angles 90.00, 90.00, 90.00 degrees
With the nearest neighbours (Å) after each atom.
Space group F-43m (No. 216)
Asymmetric unit:
Tl1 0.0000 0.0000 0.0000  4 Co 2.76, 4 Pd 2.76
Co1 0.2500 0.2500 0.2500  4 Tl 2.76, 4 Tc 2.76
Tc1 0.0000 0.0000 0.5000  4 Co 2.76, 4 Pd 2.76
Pd1 0.2500 0.2500 0.7500  4 Tl 2.76, 4 Tc 2.76

***

Entry 17:
The following is a GGA-PBE calculation of a geometry-optimized LiCd2Pt structure, from OQMD via LeMat-Bulk.

calculated total energy	-2.768	eV per atom
energy relative to the lowest polymorph listed for this composition	0.1130	eV/atom

Cell lengths 6.4923, 6.4923, 6.4923 Å; angles 90.00, 90.00, 90.00 degrees
With the nearest neighbours (Å) after each atom.
Space group F-43m (No. 216)
Asymmetric unit:
Li1 0.0000 0.0000 0.0000  4 Pt 2.81, 4 Cd 2.81
Cd1 0.0000 0.0000 0.5000  4 Cd 2.81, 4 Pt 2.81
Cd2 0.2500 0.2500 0.7500  4 Cd 2.81, 4 Li 2.81
Pt1 0.2500 0.2500 0.2500  4 Cd 2.81, 4 Li 2.81

***

Entry 18:
The following is a GGA-PBE calculation of a geometry-optimized BPd2 structure, from OQMD via LeMat-Bulk.

calculated total energy	-4.286	eV per atom

Cell lengths 7.2444, 7.2444, 7.2444 Å; angles 90.00, 90.00, 90.00 degrees
With the nearest neighbours (Å) after each atom.
Space group Fd-3m (No. 227, origin choice 2)
Asymmetric unit:
B1 0.1250 0.1250 0.1250  12 Pd 3.00, 4 B 3.14
Pd1 0.0000 0.0000 0.5000  6 Pd 2.56

***

Entry 19:
The following is a GGA-PBE calculation of a geometry-optimized RbGeAu2 structure, from OQMD via LeMat-Bulk.

calculated total energy	-3.302	eV per atom

Cell lengths 8.6158, 4.6885, 11.7697 Å; angles 90.00, 90.00, 90.00 degrees
With the nearest neighbours (Å) after each atom.
Space group Pnma (No. 62)
Asymmetric unit:
Rb1 0.1567 0.2500 0.1159  5 Au 3.47-3.61, 3 Ge 3.70-3.77
Ge1 0.0916 0.7500 0.3539  5 Au 2.52-2.73
Au1 0.0519 0.2500 0.4395  3 Ge 2.57-2.73
Au2 0.1318 0.2500 0.7845  2 Ge 2.52

***

Entry 20:
The following is a GGA-PBE calculation of a geometry-optimized Nd3Er2TmOsSe2 structure, from OQMD via LeMat-Bulk.

calculated total energy	-5.966	eV per atom

Cell lengths 4.0224, 14.0948, 8.1444 Å; angles 90.00, 90.00, 90.00 degrees
With the nearest neighbours (Å) after each atom.
Space group Amm2 (No. 38)
Asymmetric unit:
Nd1 0.0000 0.0000 0.0000  4 Se 3.18, 1 Os 3.35, 2 Tm 3.50, 4 Er 3.53
Nd2 0.0000 0.2041 0.3868  4 Se 3.18-3.19, 1 Os 3.31, 4 Er 3.50-3.52, 2 Tm 3.52
Er1 0.5000 0.1195 0.7107  2 Os 2.80
Tm1 0.5000 0.0000 0.3518  2 Os 2.79
Os1 0.0000 0.0000 0.5890  2 Tm 2.79, 4 Er 2.80
Se1 0.5000 0.1664 0.0910  1 Tm 3.16, 2 Er 3.17, 6 Nd 3.18-3.19

***

Entry 21:
The following is a GGA-PBE calculation of a geometry-optimized Nd3DySi4 structure, from OQMD via LeMat-Bulk.

calculated total energy	-5.848	eV per atom

Cell lengths 5.8720, 3.9152, 8.1748 Å; angles 90.00, 90.35, 90.00 degrees
With the nearest neighbours (Å) after each atom.
Space group Pm (No. 6)
Asymmetric unit:
Nd1 0.0000 0.0000 0.0000  7 Si 3.02-3.21
Nd2 0.2286 0.5000 0.3595  7 Si 3.07-3.25
Nd3 0.7280 0.0000 0.5018  7 Si 3.06-3.27
Dy1 0.4996 0.5000 0.8601  7 Si 3.00-3.19
Si1 0.2419 0.0000 0.6487  2 Si 2.51
Si2 0.4908 0.0000 0.1386  2 Si 2.50
Si3 0.7358 0.5000 0.2130  2 Si 2.50
Si4 0.9922 0.5000 0.7182  2 Si 2.51

***

Entry 22:
The following is a GGA-PBE calculation of a geometry-optimized Tm3Lu3FeTe2 structure, from OQMD via LeMat-Bulk.

calculated total energy	-5.202	eV per atom
energy relative to the lowest polymorph listed for this composition	0.0287	eV/atom

Cell lengths 8.1707, 8.1707, 3.9268 Å; angles 90.00, 90.00, 120.00 degrees
With the nearest neighbours (Å) after each atom.
Space group P-62m (No. 189)
Asymmetric unit:
Tm1 0.0000 0.7650 0.0000  2 Fe 2.75
Lu1 0.0000 0.3909 0.5000  1 Fe 3.19, 4 Te 3.20, 4 Tm 3.41
Fe1 0.0000 0.0000 0.5000  6 Tm 2.75
Te1 0.3333 0.6667 0.0000  6 Lu 3.20, 3 Tm 3.20

***

Entry 23:
The following is a GGA-PBE calculation of a geometry-optimized Zr2H structure, from OQMD via LeMat-Bulk.

calculated total energy	-7.060	eV per atom

Cell lengths 10.8402, 3.2133, 5.7527 Å; angles 90.00, 98.09, 90.00 degrees
With the nearest neighbours (Å) after each atom.
Space group C2/m (No. 12)
Asymmetric unit:
Zr1 0.0000 0.0000 0.0000  4 H 2.02
Zr2 0.0000 0.5000 0.5000  2 H 2.03
Zr3 0.2398 0.0000 0.7436  1 H 2.06
H1 0.0688 0.5000 0.1891  4 Zr 2.02-2.06